(1)
{"formula": "Pr2PuN2O2", "functional": "PBE-GGA", "state": "optimized geometry", "dft_energy_ev_per_cell": -64.117, "n_ef_per_ev_atom": 0.6968, "e_form_raw_ev_per_atom": -1.951, "m_tot_mub_per_cell": 3.99, "lattice": [[4.337, 0.000, 0.000], [0.000, 4.337, 0.000], [-2.169, -2.169, 6.248]], "species": ["Pr", "Pr", "Pu", "N", "N", "O", "O"], "frac_coords": [[0.364, 0.364, 0.728], [0.636, 0.636, 0.272], [0.000, 0.000, 0.000], [0.000, 0.500, 0.000], [0.500, 0.000, 0.000], [0.185, 0.185, 0.370], [0.815, 0.815, 0.630]]}

(2)
{"formula": "Pr6S2N3O", "functional": "PBE-GGA", "state": "optimized geometry", "dft_energy_ev_per_cell": -88.109, "n_ef_per_ev_atom": 0.2430, "e_form_raw_ev_per_atom": -1.770, "m_tot_mub_per_cell": 0.00, "lattice": [[-1.395, -1.275, -3.271], [7.021, 0.578, -3.219], [0.348, -7.151, 4.819]], "species": ["Pr", "Pr", "Pr", "Pr", "Pr", "Pr", "S", "S", "N", "N", "N", "O"], "frac_coords": [[0.331, 0.939, 0.661], [0.656, 0.605, 0.312], [0.669, 0.061, 0.339], [0.993, 0.249, 0.986], [0.007, 0.751, 0.014], [0.344, 0.395, 0.688], [0.833, 0.665, 0.666], [0.167, 0.335, 0.334], [0.500, 0.500, 0.000], [0.836, 0.163, 0.671], [0.164, 0.837, 0.329], [0.500, 0.000, 0.000]]}

(3)
{"formula": "Pr3Se2NO", "functional": "PBE-GGA", "state": "optimized geometry", "dft_energy_ev_per_cell": -148.884, "e_form_raw_ev_per_atom": -2.148, "m_tot_mub_per_cell": 0.00, "lattice": [[2.046, 12.316, 0.060], [-2.046, 12.316, 0.060], [0.000, 1.050, 9.858]], "species": ["Pr", "Pr", "Pr", "Pr", "Pr", "Pr", "Pr", "Pr", "Pr", "Se", "Se", "Se", "Se", "Se", "Se", "N", "N", "N", "O", "O", "O"], "frac_coords": [[0.911, 0.911, 0.365], [0.091, 0.091, 0.646], [0.811, 0.811, 0.979], [0.187, 0.187, 0.019], [0.722, 0.722, 0.330], [0.279, 0.279, 0.668], [0.000, 0.000, 0.011], [0.537, 0.537, 0.327], [0.462, 0.462, 0.685], [0.866, 0.866, 0.671], [0.134, 0.134, 0.336], [0.691, 0.691, 0.654], [0.312, 0.312, 0.337], [0.588, 0.588, 0.952], [0.412, 0.412, 0.008], [0.724, 0.724, 0.103], [0.274, 0.274, 0.894], [0.998, 0.998, 0.246], [0.553, 0.553, 0.569], [0.447, 0.447, 0.449], [0.001, 0.001, 0.751]]}

(4)
{"formula": "Pr3SiN3O2", "functional": "PBE-GGA", "state": "optimized geometry", "dft_energy_ev_per_cell": -145.379, "e_form_raw_ev_per_atom": -2.004, "m_tot_mub_per_cell": 0.00, "lattice": [[0.000, 4.803, 5.551], [4.736, 0.000, 5.551], [4.736, 4.803, 0.000]], "species": ["Pr", "Pr", "Pr", "Pr", "Pr", "Pr", "Si", "Si", "N", "N", "N", "N", "N", "N", "O", "O", "O", "O"], "frac_coords": [[0.239, 0.261, 0.261], [0.739, 0.761, 0.761], [0.324, 0.676, 0.676], [0.667, 0.333, 0.333], [0.178, 0.822, 0.177], [0.823, 0.177, 0.822], [0.752, 0.744, 0.248], [0.256, 0.248, 0.744], [0.992, 0.707, 0.008], [0.494, 0.205, 0.790], [0.210, 0.489, 0.506], [0.293, 0.008, 0.707], [0.511, 0.790, 0.205], [0.795, 0.506, 0.489], [0.508, 0.492, 0.006], [0.994, 0.006, 0.492], [0.711, 0.986, 0.289], [0.014, 0.289, 0.986]]}